1.
Compound: Tb2PbC2N6
Source: Alexandria via LeMat-Bulk
Functional: PBE
Structure: optimized geometry

Properties
- SG: P-1

Cell and atoms, written as CIF:
```
data_Tb2PbC2N6
_cell_length_a 5.225
_cell_length_b 5.229
_cell_length_c 6.261
_cell_angle_alpha 112.76
_cell_angle_beta 104.74
_cell_angle_gamma 101.09
_space_group_name_H-M_alt 'P 1'
_space_group_IT_number 1
loop_
_space_group_symop_operation_xyz
'x,y,z'
loop_
_atom_site_label
_atom_site_type_symbol
_atom_site_fract_x
_atom_site_fract_y
_atom_site_fract_z
_atom_site_occupancy
Tb1 Tb 0.237 0.106 0.318 1
Tb2 Tb 0.763 0.894 0.682 1
Pb1 Pb 0.500 0.500 0.000 1
C1 C 0.019 0.512 0.244 1
C2 C 0.981 0.488 0.756 1
N1 N 0.104 0.270 0.693 1
N2 N 0.139 0.772 0.904 1
N3 N 0.309 0.608 0.340 1
N4 N 0.691 0.392 0.660 1
N5 N 0.861 0.228 0.096 1
N6 N 0.896 0.730 0.307 1
```


2.
Compound: TePbCN2
Source: Alexandria via LeMat-Bulk
Functional: PBE
Structure: optimized geometry

Properties
- SG: P4/mmm

Cell and atoms, written as CIF:
```
data_TePbCN2
_cell_length_a 4.269
_cell_length_b 4.269
_cell_length_c 6.491
_cell_angle_alpha 90.00
_cell_angle_beta 90.00
_cell_angle_gamma 90.00
_space_group_name_H-M_alt 'P 1'
_space_group_IT_number 1
loop_
_space_group_symop_operation_xyz
'x,y,z'
loop_
_atom_site_label
_atom_site_type_symbol
_atom_site_fract_x
_atom_site_fract_y
_atom_site_fract_z
_atom_site_occupancy
Te1 Te 0.000 0.000 0.000 1
Pb1 Pb 0.000 0.000 0.500 1
C1 C 0.500 0.500 0.000 1
N1 N 0.000 0.500 0.500 1
N2 N 0.500 0.000 0.500 1
```


What are the raw formation energy values for these records? In order: -0.346 2.829 eV per atom.
What are the DFT total energy values for these records? In order: -7.743 -3.716 eV/atom.